# 1
# FeAg2P2 | the Alexandria database | PBE | relaxed
# polymorph energy (0 for the lowest one)	0.0000	eV/atom
# formation energy	0.53	eV/atom
data_FeAg2P2
_chemical_formula_sum 'Fe2 Ag4 P4'
_symmetry_space_group_name_H-M 'I 4/m m m'
_symmetry_Int_Tables_number 139
_symmetry_space_group_name_Hall '-I 4 2'
_cell_length_a 3.264
_cell_length_b 3.264
_cell_length_c 15.944
_cell_angle_alpha 90.00
_cell_angle_beta 90.00
_cell_angle_gamma 90.00
loop_
_atom_site_label
_atom_site_type_symbol
_atom_site_fract_x
_atom_site_fract_y
_atom_site_fract_z
Fe1 Fe 0.000 0.000 0.000
Ag1 Ag 0.000 0.000 0.403
P1 P 0.000 0.500 0.250

# 2
# FeAg2P | the Alexandria database | PBE | relaxed
# formation energy	0.40	eV/atom
data_FeAg2P
_chemical_formula_sum 'Fe2 Ag4 P2'
_symmetry_space_group_name_H-M 'C 1 2/m 1'
_symmetry_Int_Tables_number 12
_cell_length_a 5.356
_cell_length_b 9.827
_cell_length_c 2.800
_cell_angle_alpha 90.00
_cell_angle_beta 120.23
_cell_angle_gamma 90.00
loop_
_symmetry_equiv_pos_as_xyz
'x,y,z'
'-x,-y,-z'
'-x,y,-z'
'x,-y,z'
'x+1/2,y+1/2,z'
'-x+1/2,-y+1/2,-z'
'-x+1/2,y+1/2,-z'
'x+1/2,-y+1/2,z'
loop_
_atom_site_label
_atom_site_type_symbol
_atom_site_fract_x
_atom_site_fract_y
_atom_site_fract_z
Fe1 Fe 0.000 0.000 0.000
Ag1 Ag 0.250 0.250 0.500
P1 P 0.000 0.500 0.000

# 3
# FeAgP2Rh | the Alexandria database | PBE | relaxed
# formation energy	0.70	eV/atom
data_FeAgP2Rh
_chemical_formula_sum 'Fe1 Ag1 P2 Rh1'
_symmetry_space_group_name_H-M 'P 4/m m m'
_symmetry_Int_Tables_number 123
_symmetry_space_group_name_Hall '-P 4 2'
_cell_length_a 4.477
_cell_length_b 4.477
_cell_length_c 4.870
_cell_angle_alpha 90.00
_cell_angle_beta 90.00
_cell_angle_gamma 90.00
loop_
_atom_site_label
_atom_site_type_symbol
_atom_site_fract_x
_atom_site_fract_y
_atom_site_fract_z
Fe1 Fe 0.000 0.000 0.000
Ag1 Ag 0.500 0.500 0.000
P1 P 0.000 0.500 0.500
Rh1 Rh 0.000 0.000 0.500

# 4
# Fe2AgPRu | the Alexandria database | PBE | relaxed
# formation energy	0.95	eV/atom
data_Fe2AgPRu
_chemical_formula_sum 'Fe2 Ag1 P1 Ru1'
_symmetry_space_group_name_H-M 'P 4/m m m'
_symmetry_Int_Tables_number 123
_symmetry_space_group_name_Hall '-P 4 2'
_cell_length_a 4.077
_cell_length_b 4.077
_cell_length_c 4.560
_cell_angle_alpha 90.00
_cell_angle_beta 90.00
_cell_angle_gamma 90.00
loop_
_atom_site_label
_atom_site_type_symbol
_atom_site_fract_x
_atom_site_fract_y
_atom_site_fract_z
Fe1 Fe 0.000 0.500 0.000
Ag1 Ag 0.000 0.000 0.500
P1 P 0.000 0.000 0.000
Ru1 Ru 0.500 0.500 0.500

# 5
# FeAgPS2 | the Alexandria database | PBE | relaxed
# ΔE_f (raw)	1.255	eV/atom
# polymorph energy (0 for the lowest one)	0.7832	eV/atom
data_FeAgPS2
_chemical_formula_sum 'Fe1 Ag1 P1 S2'
_symmetry_space_group_name_H-M 'P 4/m m m'
_symmetry_Int_Tables_number 123
_symmetry_space_group_name_Hall '-P 4 2'
_cell_length_a 4.855
_cell_length_b 4.855
_cell_length_c 4.667
_cell_angle_alpha 90.00
_cell_angle_beta 90.00
_cell_angle_gamma 90.00
loop_
_atom_site_label
_atom_site_type_symbol
_atom_site_fract_x
_atom_site_fract_y
_atom_site_fract_z
Fe1 Fe 0.000 0.000 0.000
Ag1 Ag 0.500 0.500 0.500
P1 P 0.500 0.500 0.000
S1 S 0.000 0.500 0.500

# 6
# FeAgPS2 | the Alexandria database | PBE | relaxed
# ΔE_f (raw)	0.472	eV/atom
# polymorph energy (0 for the lowest one)	0.0000	eV/atom
data_FeAgPS2
_chemical_formula_sum 'Fe1 Ag1 P1 S2'
_symmetry_space_group_name_H-M 'P 4/m m m'
_symmetry_Int_Tables_number 123
_symmetry_space_group_name_Hall '-P 4 2'
_cell_length_a 4.667
_cell_length_b 4.667
_cell_length_c 4.217
_cell_angle_alpha 90.00
_cell_angle_beta 90.00
_cell_angle_gamma 90.00
loop_
_atom_site_label
_atom_site_type_symbol
_atom_site_fract_x
_atom_site_fract_y
_atom_site_fract_z
Fe1 Fe 0.000 0.000 0.000
Ag1 Ag 0.500 0.500 0.500
P1 P 0.000 0.000 0.500
S1 S 0.000 0.500 0.000